The following is a PBE-GGA calculation of an optimized crystal structure of BPtS2, from Alexandria.

Calculated values
* symmetry: I-42d
* formation energy from raw total energies: -0.02 eV/atom
* calculated volume: 119.8 Å³/cell
* total magnetic moment: 0.00 μB/f.u.

Cell lengths 5.189, 5.189, 5.767 Å; angles 63.26, 63.26, 90.00 degrees
Fractional positions:
S 0.558 0.125 0.250
S 0.192 0.625 0.250
S 0.375 0.442 0.750
S 0.875 0.808 0.750
B 0.500 0.500 0.000
B 0.250 0.750 0.500
Pt 0.000 0.000 0.000
Pt 0.750 0.250 0.500